[1]
# Nd3ErBi3

A geometry-optimized Nd3ErBi3 structure (PBE, the Alexandria database).

Cell and atoms, written as POSCAR:
```
Nd3ErBi3
1.0
6.3967 0.0000 0.0000
0.0000 9.7165 0.0000
0.0000 -4.8583 8.4147
Nd Bi Er
6 6 2
Direct
0.2500 0.0757 0.6829
0.2500 0.6072 0.9243
0.7500 0.6829 0.6072
0.2500 0.3171 0.3928
0.7500 0.3928 0.0757
0.7500 0.9243 0.3171
0.7500 0.6639 0.9511
0.2500 0.3361 0.0489
0.2500 0.9511 0.2871
0.2500 0.7129 0.6639
0.7500 0.2871 0.3361
0.7500 0.0489 0.7129
0.7500 0.3333 0.6667
0.2500 0.6667 0.3333
```

## Properties
N(E_F): 0.735 states/eV/atom
energy relative to the elements: -0.5818 eV/atom
space group: No. 176
mass density: 7.79 g/cm3
VASP energy: -4.94 eV/atom

---

[2]
# TcBCl2

A geometry-optimized TcBCl2 structure (PBE, the Alexandria database).

Cell and atoms, written as POSCAR:
```
TcBCl2
1.0
-5.6479 1.9960 -0.0632
-1.7254 -4.9728 -2.8603
-4.4596 -3.5474 2.5843
B Cl Tc
2 4 2
Direct
0.2500 0.7500 0.5000
0.5000 0.5000 0.0000
0.8750 0.9034 0.7500
0.3750 0.3466 0.7500
0.0966 0.6250 0.2500
0.6534 0.1250 0.2500
0.7500 0.2500 0.5000
0.0000 0.0000 0.0000
```

## Properties
energy relative to the elements, uncorrected: 1.353 eV per atom
N(E_F): 0.072 states/eV/atom
energy relative to the lowest polymorph listed for this composition: 0.295 eV per atom
space group: No. 122
mass density: 3.61 g/cm3
VASP energy: -3.83 eV/atom